Record 1
Zn2TeAu GGA-PBEsol relaxed; formation energy without anion corrections = 113 meV per atom; M_tot = 0.000 Bohr magnetons per cell; space-group type = No. 71; electronic total energy = -2.54 eV/atom; V = 86.47 Å³/f.u.
1.0
-2.1656 3.1313 3.1880
2.1656 -3.1313 3.1880
2.1656 3.1313 -3.1880
Zn Te Au
2 1 1
direct
0.2116 0.0000 0.2116
0.7884 0.0000 0.7884
0.5000 0.5000 0.0000
0.0000 0.5000 0.5000

=====

Record 2
HfCrAgS4 GGA-PBEsol relaxed; energy above the most stable polymorph in this dataset = 17.1 meV per atom; formation energy without anion corrections = -932 meV per atom; M_tot = 2.999 Bohr magnetons per cell; space-group type = No. 10; electronic total energy = -6.87 eV/atom; V = 134.49 Å³/f.u.
1.0
6.0025 0.0000 0.0000
0.0000 3.5338 0.0000
-0.1170 0.0000 6.3401
Hf Cr Ag S
1 1 1 4
direct
0.0000 0.0000 0.0000
0.5000 0.5000 0.0000
0.5000 0.5000 0.5000
0.1784 0.5000 0.2274
0.3444 0.0000 0.7828
0.6556 0.0000 0.2172
0.8216 0.5000 0.7726

=====

Record 3
ZnCdRh GGA-PBEsol relaxed; M_tot = 0.000 Bohr magnetons per cell; space-group type = No. 107; electronic total energy = -3.83 eV/atom; E_form = -0.19 eV per atom; V = 45.98 Å³/f.u.
1.0
-1.5424 1.5424 4.8323
1.5424 -1.5424 4.8323
1.5424 1.5424 -4.8323
Zn Cd Rh
1 1 1
direct
0.0000 0.0000 0.0000
0.6870 0.6870 0.0000
0.3686 0.3686 0.0000

=====

Record 4
SrLaPt2 GGA-PBEsol relaxed; energy above the most stable polymorph in this dataset = 0.0 meV per atom; M_tot = 0.000 Bohr magnetons per cell; space-group type = No. 38; electronic total energy = -6.19 eV/atom; E_form = -0.91 eV per atom; V = 98.84 Å³/f.u.
1.0
4.4685 0.0000 0.0000
0.0000 1.9992 5.5322
0.0000 -1.9992 5.5322
Sr La Pt
1 1 2
direct
0.0000 0.0000 0.0000
0.5000 0.2758 0.2758
0.0000 0.7244 0.7244
0.5000 0.5622 0.5622

=====

Record 5
Be2ZnRu GGA-PBEsol relaxed; M_tot = 0.002 Bohr magnetons per cell; space-group type = No. 35; electronic total energy = -4.71 eV/atom; E_form = 0.23 eV per atom; V = 45.83 Å³/f.u.
1.0
1.3856 -2.1480 0.0000
1.3856 2.1480 0.0000
0.0000 0.0000 7.6995
Be Zn Ru
2 1 1
direct
0.0000 0.0000 0.0000
0.5000 0.5000 0.2270
0.0000 0.0000 0.4815
0.5000 0.5000 0.7670

=====

Record 6
CoOsRh2 GGA-PBEsol relaxed; energy above the most stable polymorph in this dataset = 6.8 meV per atom; M_tot = 1.256 Bohr magnetons per cell; space-group type = No. 99; electronic total energy = -8.98 eV/atom; E_form = 0.07 eV per atom; V = 51.25 Å³/f.u.
1.0
2.6480 0.0000 0.0000
0.0000 2.6480 0.0000
0.0000 0.0000 7.3097
Co Os Rh
1 1 2
direct
0.0000 0.0000 0.0000
0.5000 0.5000 0.2348
0.0000 0.0000 0.4947
0.5000 0.5000 0.7605

=====

Record 7
LiNi2S4 GGA-PBEsol relaxed; formation energy without anion corrections = -519 meV per atom; M_tot = 0.002 Bohr magnetons per cell; space-group type = No. 227; electronic total energy = -5.06 eV/atom; V = 109.15 Å³/f.u.
1.0
0.0000 4.7790 4.7790
4.7790 0.0000 4.7790
4.7790 4.7790 0.0000
Li Ni S
2 4 8
direct
0.1250 0.1250 0.1250
0.8750 0.8750 0.8750
0.0000 0.5000 0.5000
0.5000 0.0000 0.5000
0.5000 0.5000 0.0000
0.5000 0.5000 0.5000
0.2650 0.2650 0.2650
0.2650 0.2650 0.7051
0.2650 0.7051 0.2650
0.2949 0.7350 0.7350
0.7051 0.2650 0.2650
0.7350 0.2949 0.7350
0.7350 0.7350 0.2949
0.7350 0.7350 0.7350

=====

Record 8
PPb GGA-PBEsol relaxed; M_tot = 0.000 Bohr magnetons per cell; space-group type = No. 227; electronic total energy = -4.32 eV/atom; E_form = 0.57 eV per atom; V = 44.17 Å³/f.u.
1.0
0.0000 3.5350 3.5350
3.5350 0.0000 3.5350
3.5350 3.5350 0.0000
P Pb
2 2
direct
0.1250 0.1250 0.1250
0.8750 0.8750 0.8750
0.3750 0.3750 0.3750
0.6250 0.6250 0.6250

=====

Record 9
BiI3 GGA-PBEsol relaxed; formation energy without anion corrections = -375 meV per atom; M_tot = 0.000 Bohr magnetons per cell; space-group type = No. 11; electronic total energy = -2.77 eV/atom; V = 146.52 Å³/f.u.
1.0
4.2514 0.0000 0.0000
0.0000 9.7406 0.0000
-2.1237 0.0000 7.0765
Bi I
2 6
direct
0.2364 0.2500 0.4764
0.7636 0.7500 0.5236
0.1458 0.5657 0.2906
0.1458 0.9343 0.2906
0.4216 0.7500 0.8419
0.5784 0.2500 0.1581
0.8542 0.0657 0.7094
0.8542 0.4343 0.7094

=====

Record 10
MgSc2Cu GGA-PBEsol relaxed; M_tot = 0.002 Bohr magnetons per cell; space-group type = No. 44; electronic total energy = -4.87 eV/atom; E_form = -0.05 eV per atom; V = 78.10 Å³/f.u.
1.0
-1.6141 2.4220 4.9947
1.6141 -2.4220 4.9947
1.6141 2.4220 -4.9947
Mg Sc Cu
1 2 1
direct
0.0000 0.0000 0.0000
0.2870 0.7870 0.5000
0.5802 0.5802 0.0000
0.7921 0.2921 0.5000

=====

Record 11
TeIrO3 GGA-PBEsol relaxed; formation energy without anion corrections = -117 meV per atom; M_tot = 0.000 Bohr magnetons per cell; space-group type = No. 221; electronic total energy = -5.94 eV/atom; V = 61.67 Å³/f.u.
1.0
3.9508 0.0000 0.0000
0.0000 3.9508 0.0000
0.0000 0.0000 3.9508
Te Ir O
1 1 3
direct
0.0000 0.0000 0.0000
0.5000 0.5000 0.5000
0.0000 0.5000 0.5000
0.5000 0.0000 0.5000
0.5000 0.5000 0.0000

=====

Record 12
TaCr2CuBr GGA-PBEsol relaxed; formation energy without anion corrections = 1656 meV per atom; M_tot = 5.693 Bohr magnetons per cell; space-group type = No. 123; electronic total energy = -6.19 eV/atom; V = 106.84 Å³/f.u.
1.0
4.7452 0.0000 0.0000
0.0000 4.7452 0.0000
0.0000 0.0000 4.7450
Ta Cr Cu Br
1 2 1 1
direct
0.0000 0.0000 0.0000
0.0000 0.5000 0.0000
0.5000 0.0000 0.0000
0.0000 0.0000 0.5000
0.5000 0.5000 0.5000

=====

Record 13
HW2Br GGA-PBEsol relaxed; M_tot = 0.000 Bohr magnetons per cell; space-group type = No. 122; electronic total energy = -7.23 eV/atom; V = 58.54 Å³/f.u.
1.0
-2.4422 2.4422 4.9077
2.4422 -2.4422 4.9077
2.4422 2.4422 -4.9077
H W Br
2 4 2
direct
0.0000 0.0000 0.0000
0.7500 0.2500 0.5000
0.3750 0.2420 0.3670
0.7580 0.1250 0.1330
0.8750 0.0080 0.6330
0.9920 0.6250 0.8670
0.2500 0.7500 0.5000
0.5000 0.5000 0.0000

=====

Record 14
ScIn2Ag2 GGA-PBEsol relaxed; M_tot = 0.001 Bohr magnetons per cell; space-group type = No. 139; electronic total energy = -3.93 eV/atom; E_form = -0.09 eV per atom; V = 105.09 Å³/f.u.
1.0
-1.9992 1.9992 6.5734
1.9992 -1.9992 6.5734
1.9992 1.9992 -6.5734
Sc In Ag
1 2 2
direct
0.0000 0.0000 0.0000
0.3957 0.3957 0.0000
0.6043 0.6043 0.0000
0.2500 0.7500 0.5000
0.7500 0.2500 0.5000

=====

Record 15
RbBa3Cr GGA-PBEsol relaxed; M_tot = 4.000 Bohr magnetons per cell; space-group type = No. 221; electronic total energy = -3.00 eV/atom; E_form = 0.54 eV per atom; V = 284.57 Å³/f.u.
1.0
6.5775 0.0000 0.0000
0.0000 6.5775 0.0000
0.0000 0.0000 6.5775
Rb Ba Cr
1 3 1
direct
0.0000 0.0000 0.0000
0.0000 0.5000 0.5000
0.5000 0.0000 0.5000
0.5000 0.5000 0.0000
0.5000 0.5000 0.5000

=====

Record 16
SrTl3S GGA-PBEsol relaxed; formation energy without anion corrections = 816 meV per atom; M_tot = 0.000 Bohr magnetons per cell; space-group type = No. 221; electronic total energy = -2.01 eV/atom; V = 212.95 Å³/f.u.
1.0
5.9716 0.0000 0.0000
0.0000 5.9716 0.0000
0.0000 0.0000 5.9716
Sr Tl S
1 3 1
direct
0.0000 0.0000 0.0000
0.0000 0.0000 0.5000
0.0000 0.5000 0.0000
0.5000 0.0000 0.0000
0.5000 0.5000 0.5000

=====

Record 17
ReP3 GGA-PBEsol relaxed; energy above the most stable polymorph in this dataset = 0.0 meV per atom; M_tot = 0.000 Bohr magnetons per cell; space-group type = No. 62; electronic total energy = -8.07 eV/atom; E_form = -0.39 eV per atom; V = 60.98 Å³/f.u.
1.0
15.3297 0.0000 0.0000
0.0000 3.1031 0.0000
0.0000 0.0000 5.1277
Re P
4 12
direct
0.1502 0.2500 0.1492
0.3498 0.7500 0.6492
0.6502 0.2500 0.3508
0.8498 0.7500 0.8508
0.0133 0.2500 0.3526
0.1182 0.7500 0.8190
0.2075 0.7500 0.4761
0.2925 0.2500 0.9761
0.3818 0.2500 0.3190
0.4867 0.7500 0.8526
0.5133 0.2500 0.1474
0.6182 0.7500 0.6810
0.7075 0.7500 0.0239
0.7925 0.2500 0.5239
0.8818 0.2500 0.1810
0.9867 0.7500 0.6474

=====

Record 18
La3CdTc GGA-PBEsol relaxed; M_tot = 0.000 Bohr magnetons per cell; space-group type = No. 221; electronic total energy = -5.70 eV/atom; E_form = 0.00 eV per atom; V = 155.66 Å³/f.u.
1.0
5.3792 0.0000 0.0000
0.0000 5.3792 0.0000
0.0000 0.0000 5.3792
La Cd Tc
3 1 1
direct
0.0000 0.0000 0.5000
0.0000 0.5000 0.0000
0.5000 0.0000 0.0000
0.5000 0.5000 0.5000
0.0000 0.0000 0.0000

=====

Record 19
Te2WNCl GGA-PBEsol relaxed; formation energy without anion corrections = 234 meV per atom; M_tot = 0.001 Bohr magnetons per cell; space-group type = No. 123; electronic total energy = -6.04 eV/atom; V = 108.73 Å³/f.u.
1.0
5.3545 0.0000 0.0000
0.0000 5.3545 0.0000
0.0000 0.0000 3.7925
Te W N Cl
2 1 1 1
direct
0.0000 0.5000 0.0000
0.5000 0.0000 0.0000
0.0000 0.0000 0.0000
0.0000 0.0000 0.5000
0.5000 0.5000 0.5000

=====

Record 20
Ba6Na2P2Ru2O17 GGA-PBEsol relaxed; formation energy without anion corrections = -2360 meV per atom; M_tot = 12.089 Bohr magnetons per cell; space-group type = No. 194; electronic total energy = -7.08 eV/atom; V = 421.52 Å³/f.u.
1.0
5.7712 0.0000 0.0000
-2.8856 4.9980 0.0000
0.0000 0.0000 29.2270
Ba Na P Ru O
12 4 4 4 34
direct
0.0000 0.0000 0.0000
0.0000 0.0000 0.2500
0.0000 0.0000 0.5000
0.0000 0.0000 0.7500
0.3333 0.6667 0.0901
0.3333 0.6667 0.4099
0.3333 0.6667 0.6778
0.3333 0.6667 0.8222
0.6667 0.3333 0.1778
0.6667 0.3333 0.3222
0.6667 0.3333 0.5901
0.6667 0.3333 0.9099
0.0000 0.0000 0.1214
0.0000 0.0000 0.3786
0.0000 0.0000 0.6214
0.0000 0.0000 0.8786
0.3333 0.6667 0.5526
0.3333 0.6667 0.9474
0.6667 0.3333 0.0526
0.6667 0.3333 0.4474
0.3333 0.6667 0.2032
0.3333 0.6667 0.2968
0.6667 0.3333 0.7032
0.6667 0.3333 0.7968
0.0263 0.5132 0.2500
0.1756 0.3511 0.1686
0.1756 0.3511 0.3314
0.1756 0.8244 0.1686
0.1756 0.8244 0.3314
0.1871 0.3742 0.5716
0.1871 0.3742 0.9284
0.1871 0.8129 0.5716
0.1871 0.8129 0.9284
0.3333 0.6667 0.0000
0.3333 0.6667 0.5000
0.3511 0.1756 0.6686
0.3511 0.1756 0.8314
0.3742 0.1871 0.0716
0.3742 0.1871 0.4284
0.4868 0.5132 0.2500
0.4868 0.9737 0.2500
0.5132 0.0263 0.7500
0.5132 0.4868 0.7500
0.6258 0.8129 0.5716
0.6258 0.8129 0.9284
0.6489 0.8244 0.1686
0.6489 0.8244 0.3314
0.6667 0.3333 0.0000
0.6667 0.3333 0.5000
0.8129 0.1871 0.0716
0.8129 0.1871 0.4284
0.8129 0.6258 0.0716
0.8129 0.6258 0.4284
0.8244 0.1756 0.6686
0.8244 0.1756 0.8314
0.8244 0.6489 0.6686
0.8244 0.6489 0.8314
0.9737 0.4868 0.7500